PBE-GGA YFeN3, relaxed; DOS at the Fermi energy = 0.675 states/eV/atom; ΔE_f (raw) = -0.09 eV per atom; M_tot = 2.94 μB per formula unit; E = -8.07 eV per atom; ρ = 5.9 g/cm³
1.0
-0.461 0.646 3.660
-3.066 -2.150 -0.006
2.100 -2.998 0.794
Fe Y N
1 1 3
direct
0.000 0.000 0.000
0.500 0.500 0.500
0.000 0.500 0.000
0.000 0.000 0.500
0.500 0.000 0.000